# PBE CoRuBr, optimized geometry
# Uncorrected formation energy: 715.4 meV per atom
# Relative energy among the computed polymorphs: 0.0 meV per atom
# Crystal system: trigonal
# Density: 8.49 g/cm³
data_CoRuBr
_space_group_name_H-M_alt 'P 3 m 1'
_space_group_IT_number 156
_space_group_name_Hall 'P 3 -2"'
_cell_length_a 3.0294
_cell_length_b 3.0294
_cell_length_c 5.9068
_cell_angle_alpha 90.00
_cell_angle_beta 90.00
_cell_angle_gamma 120.00
loop_
_atom_site_label
_atom_site_type_symbol
_atom_site_fract_x
_atom_site_fract_y
_atom_site_fract_z
_atom_site_occupancy
Co1 Co 0.0000 0.0000 0.0000 1
Ru1 Ru 0.3333 0.6667 0.3001 1
Br1 Br 0.6667 0.3333 0.6608 1